Compound: Tl3Sn
Source: Alexandria
Functional: PBE-GGA
Structure: relaxed

```
Tl3Sn
1.0
3.6920 0.0000 0.0000
0.0000 5.6914 0.0000
-1.8460 -2.8457 5.7184
Tl Sn
3 1
Direct
0.5000 0.4375 0.0000
0.2585 0.6513 0.5170
0.7415 0.1343 0.4830
0.0000 0.9436 0.0000
```

Calculated values
As for the symmetry: Imm2. For the formation energy, the calculation gives 43.6 meV per atom.

---

Compound: SrReNi2
Source: Alexandria
Functional: PBE-GGA
Structure: relaxed

```
SrReNi2
1.0
5.7510 0.0091 0.0020
3.1625 4.8034 -0.0020
-3.8186 -3.5882 2.3700
Sr Ni Re
1 2 1
Direct
0.2460 0.7460 0.5000
0.7493 0.2493 0.5000
0.9701 0.9701 0.0000
0.5346 0.5346 0.0000
```

Calculated values
As for the symmetry: Imm2. The distance to the lowest polymorph of the same formula comes out at 485 meV per atom. For the formation energy, the calculation gives 626.9 meV per atom.

---

Compound: PtSe4Br
Source: Alexandria
Functional: PBE-GGA
Structure: relaxed

```
PtSe4Br
1.0
0.0000 4.0012 4.0012
4.0012 0.0000 4.0012
4.0012 4.0012 0.0000
Se Pt Br
4 1 1
Direct
0.8833 0.3722 0.3722
0.3722 0.3722 0.8833
0.3722 0.8833 0.3722
0.3722 0.3722 0.3722
0.0000 0.0000 0.0000
0.7500 0.7500 0.7500
```

Calculated values
As for the symmetry: F-43m. The distance to the lowest polymorph of the same formula comes out at 857 meV per atom. For the uncorrected formation energy, the calculation gives 0.8551 eV per atom.

---

Compound: PmHo3Ir3
Source: Alexandria
Functional: PBE-GGA
Structure: relaxed

```
PmHo3Ir3
1.0
-4.0794 -4.0559 4.0085
-2.6057 -2.7837 -5.8840
4.7145 -4.6344 0.1063
Ho Pm Ir
6 2 6
Direct
0.7562 0.2438 0.5000
0.7555 0.7555 0.4997
0.2299 0.7701 0.0000
0.2438 0.7562 0.5000
0.7701 0.2299 0.0000
0.2445 0.2445 0.5003
0.2649 0.2649 0.0003
0.7351 0.7351 0.9997
0.5000 0.0000 0.2538
0.5000 0.0000 0.7462
0.9999 0.9999 0.7461
0.0000 0.5000 0.7462
0.0000 0.5000 0.2538
0.0001 0.0001 0.2539
```

Calculated values
As for the symmetry: Cmmm. For the formation energy, the calculation gives -685.9 meV per atom.

---

Compound: K2PtS2
Source: Alexandria
Functional: PBE-GGA
Structure: relaxed

```
K2PtS2
1.0
-1.9445 -2.9190 0.8517
-0.5301 -1.6065 -6.7159
8.4907 -5.4698 0.6382
S K Pt
4 4 2
Direct
0.5000 0.7002 0.4308
0.5000 0.2998 0.5692
0.5000 0.2002 0.0692
0.5000 0.7998 0.9308
0.0000 0.5780 0.1691
0.0000 0.4220 0.8309
0.0000 0.0780 0.3309
0.0000 0.9220 0.6691
0.0000 0.0000 0.0000
0.0000 0.5000 0.5000
```

Calculated values
As for the symmetry: Pbam. For the uncorrected formation energy, the calculation gives -0.9169 eV per atom.

---

Compound: AlZn2Pt8
Source: Alexandria
Functional: PBE-GGA
Structure: relaxed

```
AlZn2Pt8
1.0
-3.8392 -0.1784 1.1850
-1.8516 0.9976 -5.8490
2.4674 -6.8253 0.1415
Pt Al Zn
8 1 2
Direct
0.0459 0.7268 0.0919
0.9541 0.2732 0.9081
0.5949 0.4506 0.1897
0.6782 0.9218 0.3564
0.1400 0.1925 0.2800
0.8600 0.8075 0.7200
0.3218 0.0782 0.6436
0.4051 0.5494 0.8103
0.5000 0.0000 0.0000
0.2249 0.6430 0.4498
0.7751 0.3570 0.5502
```

Calculated values
As for the symmetry: C2/m. The distance to the lowest polymorph of the same formula comes out at 0 meV per atom. For the formation energy, the calculation gives -431.2 meV per atom.

---

Compound: Pm4CoPd
Source: Alexandria
Functional: PBE-GGA
Structure: relaxed

```
Pm4CoPd
1.0
6.4196 0.0000 0.0000
0.0000 7.0004 0.0000
0.0000 0.0000 7.0004
Pm Pd Co
8 2 2
Direct
0.0000 0.8079 0.3266
0.0000 0.6734 0.8079
0.5000 0.8079 0.6734
0.0000 0.3266 0.1921
0.5000 0.1921 0.3266
0.0000 0.1921 0.6734
0.5000 0.3266 0.8079
0.5000 0.6734 0.1921
0.7500 0.0000 0.0000
0.2500 0.0000 0.0000
0.2500 0.5000 0.5000
0.7500 0.5000 0.5000
```

Calculated values
As for the symmetry: P4/mcc. The distance to the lowest polymorph of the same formula comes out at 0 meV per atom. For the formation energy, the calculation gives -261.8 meV per atom.

---

Compound: Cs2AcLaO4
Source: Alexandria
Functional: PBE-GGA
Structure: relaxed

```
Cs2AcLaO4
1.0
-1.0009 2.8356 -2.4067
-4.7018 -3.9175 -2.6603
-3.0441 3.6524 5.5692
Ac La Cs O
1 1 2 4
Direct
0.0000 0.0000 0.0000
0.5000 0.5000 0.0000
0.5000 0.0000 0.5000
0.0000 0.5000 0.5000
0.5000 0.7690 0.8272
0.5000 0.2310 0.1728
0.0000 0.2825 0.8296
0.0000 0.7175 0.1704
```

Calculated values
As for the symmetry: P2/m. For the uncorrected formation energy, the calculation gives -2.5342 eV per atom.

---

Compound: TbNd2Ga2
Source: Alexandria
Functional: PBE-GGA
Structure: relaxed

```
TbNd2Ga2
1.0
-4.4304 1.2947 0.8478
-3.6810 -1.1187 -4.5391
-3.6143 -4.5932 1.1153
Tb Ga Nd
1 2 2
Direct
0.0000 0.0000 0.0000
0.5000 0.2981 0.7019
0.5000 0.7019 0.2981
0.8008 0.6992 0.6992
0.1992 0.3008 0.3008
```

Calculated values
As for the symmetry: Immm. The distance to the lowest polymorph of the same formula comes out at 0 meV per atom. For the formation energy, the calculation gives -480.2 meV per atom.

---

Compound: K3RbPb
Source: Alexandria
Functional: PBE-GGA
Structure: relaxed

```
K3RbPb
1.0
-5.0135 -3.2811 3.6363
3.7478 0.7800 5.8710
-3.1532 6.1440 1.1965
Pb Rb K
1 1 3
Direct
0.5000 0.5000 0.5000
0.0000 0.0000 0.0000
0.0000 0.5000 0.0000
0.5000 0.0000 0.0000
0.0000 0.0000 0.5000
```

Calculated values
As for the symmetry: Pm-3m. The distance to the lowest polymorph of the same formula comes out at 578 meV per atom. For the formation energy, the calculation gives 529.5 meV per atom.

---

Compound: BaMnCl
Source: Alexandria
Functional: PBE-GGA
Structure: relaxed

```
BaMnCl
1.0
-1.6550 -0.4273 7.2687
-6.1824 -1.4100 3.9431
4.5395 -1.8644 -5.6281
Cl Ba Mn
1 1 1
Direct
0.6234 0.6234 0.0000
0.0212 0.0212 0.0000
0.3554 0.3554 0.0000
```

Calculated values
As for the symmetry: I4mm. The distance to the lowest polymorph of the same formula comes out at 0 meV per atom. For the uncorrected formation energy, the calculation gives -0.3362 eV per atom.

---

Compound: Al3O4F
Source: Alexandria
Functional: PBE-GGA
Structure: relaxed

```
Al3O4F
1.0
4.8267 0.0000 0.0000
-2.4134 4.5459 -1.7208
0.0000 0.0345 6.7260
O F Al
8 2 6
Direct
0.4898 0.5987 0.3389
0.5599 0.4413 0.6415
0.9401 0.2093 0.4307
0.8814 0.4413 0.1415
0.0488 0.7640 0.5317
0.7152 0.7640 0.0317
0.1089 0.5987 0.8389
0.2691 0.2093 0.9307
0.6580 0.9920 0.7462
0.3339 0.9920 0.2462
0.6680 0.3593 0.8745
0.6913 0.3593 0.3745
0.9072 0.8530 0.3091
0.2750 0.5622 0.5773
0.9458 0.8530 0.8091
0.2873 0.5622 0.0773
```

Calculated values
As for the symmetry: Cc. For the uncorrected formation energy, the calculation gives -3.0307 eV per atom.

---

Compound: RbAgSn2
Source: Alexandria
Functional: PBE-GGA
Structure: relaxed

```
RbAgSn2
1.0
4.7448 0.0000 0.0000
2.3724 4.1091 0.0000
2.3724 1.3697 7.0305
Sn Rb Ag
2 1 1
Direct
0.2911 0.2911 0.1267
0.7089 0.7089 0.8733
0.5000 0.5000 0.5000
0.0000 0.0000 0.0000
```

Calculated values
As for the symmetry: R-3m. The distance to the lowest polymorph of the same formula comes out at 14 meV per atom. For the formation energy, the calculation gives -144.7 meV per atom.

---

Compound: Na3NiSn3Se8
Source: Alexandria
Functional: PBE-GGA
Structure: relaxed

```
Na3NiSn3Se8
1.0
-2.3447 -2.7081 6.9807
6.8017 -2.4444 -3.0731
-0.2970 8.0285 3.0149
Sn Se Na Ni
3 8 3 1
Direct
0.0000 0.5000 0.5000
0.5000 0.5000 0.5000
0.5000 0.0000 0.5000
0.2195 0.4390 0.7025
0.7638 0.9833 0.7024
0.2362 0.0167 0.2976
0.7805 0.5610 0.2975
0.2571 0.5142 0.2712
0.7805 0.0167 0.2976
0.7429 0.4858 0.7288
0.2195 0.9833 0.7024
0.0000 0.0000 0.0000
0.0000 0.5000 0.0000
0.5000 0.5000 0.0000
0.0000 0.0000 0.5000
```

Calculated values
As for the symmetry: C2/m. For the uncorrected formation energy, the calculation gives -0.5596 eV per atom.

---

Compound: CsCoI2N
Source: Alexandria
Functional: PBE-GGA
Structure: relaxed

```
CsCoI2N
1.0
6.4192 0.0000 0.0000
0.0000 6.4192 0.0000
0.0000 0.0000 3.5170
I Co N Cs
2 1 1 1
Direct
0.0000 0.5000 0.0000
0.5000 0.0000 0.0000
0.0000 0.0000 0.0000
0.0000 0.0000 0.5000
0.5000 0.5000 0.5000
```

Calculated values
As for the symmetry: P4/mmm. For the uncorrected formation energy, the calculation gives 0.0178 eV per atom.

---

Compound: KPr2Tl9
Source: Alexandria
Functional: PBE-GGA
Structure: relaxed

```
KPr2Tl9
1.0
4.9012 0.0000 0.0000
0.0000 4.9012 0.0000
0.0000 0.0000 14.8457
Tl K Pr
9 1 2
Direct
0.5000 0.0000 0.1753
0.5000 0.5000 0.6648
0.5000 0.5000 0.3352
0.0000 0.5000 0.1753
0.0000 0.5000 0.5000
0.5000 0.0000 0.8247
0.5000 0.5000 0.0000
0.0000 0.5000 0.8247
0.5000 0.0000 0.5000
0.0000 0.0000 0.0000
0.0000 0.0000 0.3419
0.0000 0.0000 0.6581
```

Calculated values
As for the symmetry: P4/mmm. For the formation energy, the calculation gives -204.9 meV per atom.

---

Compound: RbTmP2S8
Source: Alexandria
Functional: PBE-GGA
Structure: relaxed

```
RbTmP2S8
1.0
6.1651 0.0000 0.0000
-3.0825 5.3391 0.0000
0.0000 0.0000 9.5213
S P Rb Tm
8 2 1 1
Direct
0.6406 0.6421 0.6677
0.6421 0.0014 0.3323
0.3594 0.3579 0.3323
0.9986 0.6406 0.3323
0.6667 0.3333 0.0596
0.3333 0.6667 0.9404
0.0014 0.3594 0.6677
0.3579 0.9986 0.6677
0.3333 0.6667 0.7266
0.6667 0.3333 0.2734
0.0000 0.0000 0.0000
0.0000 0.0000 0.5000
```

Calculated values
As for the symmetry: P-3. For the uncorrected formation energy, the calculation gives -0.5885 eV per atom.

---

Compound: YZrPb2
Source: Alexandria
Functional: PBE-GGA
Structure: relaxed

```
YZrPb2
1.0
5.6074 -0.0164 -0.0400
-1.3714 5.4372 -0.0400
0.3148 0.4028 3.4126
Pb Y Zr
2 1 1
Direct
0.5000 0.5000 0.0000
0.0000 0.0000 0.0000
0.5000 0.0000 0.5000
0.0000 0.5000 0.5000
```

Calculated values
As for the symmetry: C2/m. For the formation energy, the calculation gives -249.6 meV per atom.

---

Compound: Y3Ni6Sn2
Source: Alexandria
Functional: PBE-GGA
Structure: relaxed

```
Y3Ni6Sn2
1.0
7.4750 0.0000 -2.6428
-3.7375 6.4735 -2.6428
0.0000 0.0000 7.9284
Ni Y Sn
12 6 4
Direct
0.6561 0.6561 0.3121
0.6561 0.3121 0.6561
0.3439 0.3439 0.6879
0.6879 0.3439 0.3439
0.0000 0.3439 0.6561
0.6561 0.0000 0.3439
0.6561 0.3439 0.0000
0.3439 0.6879 0.3439
0.3439 0.6561 0.0000
0.0000 0.6561 0.3439
0.3439 0.0000 0.6561
0.3121 0.6561 0.6561
0.2887 0.0000 0.2887
0.7113 0.0000 0.7113
0.0000 0.7113 0.7113
0.7113 0.7113 0.0000
0.2887 0.2887 0.0000
0.0000 0.2887 0.2887
0.0000 0.0000 0.5000
0.0000 0.5000 0.0000
0.5000 0.5000 0.5000
0.5000 0.0000 0.0000
```

Calculated values
As for the symmetry: Im-3m. For the formation energy, the calculation gives -474.1 meV per atom.

---

Compound: LiY2Cl
Source: Alexandria
Functional: PBE-GGA
Structure: relaxed

```
LiY2Cl
1.0
-1.8435 2.8966 0.8190
-4.9880 -2.3832 -2.7989
-1.4048 -2.1097 4.2999
Y Li Cl
2 1 1
Direct
0.5000 0.5000 0.0000
0.0000 0.0000 0.0000
0.0000 0.5000 0.5000
0.5000 0.0000 0.5000
```

Calculated values
As for the symmetry: Pmmm. The distance to the lowest polymorph of the same formula comes out at 425 meV per atom. For the uncorrected formation energy, the calculation gives -0.2138 eV per atom.

---

For each record above, in turn, the calculated VASP energy values are -2.7318; -5.7963; -2.7535; -7.1240; -4.2150; -5.3963; -5.4787; -6.3562; -4.5241; -1.0641; -4.6492; -7.1472; -3.1008; -3.8678; -3.8592; -2.8676; -4.6951; -5.8568; -6.1182; -4.3860 eV per atom.
For each record above, in turn, the calculated volume values are 120.2; 65.4; 128.1; 324.8; 253.0; 167.3; 314.6; 179.4; 135.4; 344.3; 112.2; 147.9; 137.1; 388.6; 144.9; 356.6; 313.4; 104.1; 383.7; 109.2 Å³ per cell.